The following is a DFT calculation (PBE) of a geometry-optimized Co4Ni3Rh12 structure.

Summary:
space-group type: Im-3, No. 204
energy relative to the elements: 707 meV per atom
total magnetization: 13.4 μB per cell

a b c (Å): 7.7576 7.7576 7.7576
angles (deg): 109.47 109.47 109.47
Closest atoms and distances in Å follow each position.
Element x y z (fractional)
Rh: 0.0941 0.7372 0.3569  2 Co 2.44, 2 Ni 2.48-2.68, 5 Rh 2.56-2.70
Rh: 0.9059 0.2628 0.6431  2 Co 2.44, 2 Ni 2.48-2.68, 5 Rh 2.56-2.70
Rh: 0.2628 0.6431 0.9059  2 Co 2.44, 2 Ni 2.48-2.68, 5 Rh 2.56-2.70
Rh: 0.3569 0.6196 0.2628  2 Co 2.44, 2 Ni 2.48-2.68, 5 Rh 2.56-2.70
Rh: 0.3804 0.7372 0.6431  2 Co 2.44, 2 Ni 2.48-2.68, 5 Rh 2.56-2.70
Rh: 0.7372 0.6431 0.3804  2 Co 2.44, 2 Ni 2.48-2.68, 5 Rh 2.56-2.70
Rh: 0.6431 0.9059 0.2628  2 Co 2.44, 2 Ni 2.48-2.68, 5 Rh 2.56-2.70
Rh: 0.6196 0.2628 0.3569  2 Co 2.44, 2 Ni 2.48-2.68, 5 Rh 2.56-2.70
Rh: 0.6431 0.3804 0.7372  2 Co 2.44, 2 Ni 2.48-2.68, 5 Rh 2.56-2.70
Rh: 0.7372 0.3569 0.0941  2 Co 2.44, 2 Ni 2.48-2.68, 5 Rh 2.56-2.70
Rh: 0.3569 0.0941 0.7372  2 Co 2.44, 2 Ni 2.48-2.68, 5 Rh 2.56-2.70
Rh: 0.2628 0.3569 0.6196  2 Co 2.44, 2 Ni 2.48-2.68, 5 Rh 2.56-2.70
Co: 0.5000 0.0000 0.0000  6 Rh 2.44
Co: 0.0000 0.0000 0.5000  6 Rh 2.44
Co: 0.0000 0.5000 0.0000  6 Rh 2.44
Co: 0.5000 0.5000 0.5000  6 Rh 2.44
Ni: 0.5000 0.5000 0.0000  8 Rh 2.48-2.68
Ni: 0.0000 0.5000 0.5000  8 Rh 2.48-2.68
Ni: 0.5000 0.0000 0.5000  8 Rh 2.48-2.68